The following is a GGA+U calculation of a relaxed FeIrRh2O6 crystal, from Alexandria via LeMat-Bulk.

Lattice parameters (Å, degrees): 5.5863 5.5863 5.5863 55.49 55.49 55.49
Fractional positions:
Fe 0.0000 0.0000 0.0000
Ir 0.4914 0.4914 0.4914
Rh 0.2928 0.2928 0.2928
Rh 0.8007 0.8007 0.8007
O 0.0948 0.7023 0.3903
O 0.2055 0.6000 0.8828
O 0.3903 0.0948 0.7023
O 0.6000 0.8828 0.2055
O 0.7023 0.3903 0.0948
O 0.8828 0.2055 0.6000

Summary:
size of the total moment = 4.99 μB/f.u.
crystal system = trigonal
DFT total energy = -6.6711 eV/atom
V = 11.04 Å³/atom